(1)
# Rb2VS4 (PBE-GGA, relaxed)
data_Rb2VS4
_chemical_formula_sum 'Rb2 V1 S4'
_symmetry_space_group_name_H-M 'P 1'
_symmetry_Int_Tables_number 1
_symmetry_space_group_name_Hall 'P 1'
_cell_length_a 4.7652
_cell_length_b 4.7652
_cell_length_c 8.9060
_cell_angle_alpha 74.48
_cell_angle_beta 74.48
_cell_angle_gamma 90.00
loop_
_atom_site_label
_atom_site_type_symbol
_atom_site_fract_x
_atom_site_fract_y
_atom_site_fract_z
V1 V 0.0000 0.0000 0.0000
Rb1 Rb 0.6490 0.6490 0.7020
Rb2 Rb 0.3510 0.3510 0.2980
S1 S 0.5000 0.0000 0.0000
S2 S 0.0000 0.5000 0.0000
S3 S 0.8610 0.8610 0.2780
S4 S 0.1390 0.1390 0.7220
# Uncorrected formation energy, eV/f.u.: -4.9
# E above lowest polymorph, eV per formula unit: 1.74

=====

(2)
# Rb4VS5 (PBE-GGA, relaxed)
data_Rb4VS5
_chemical_formula_sum 'Rb4 V1 S5'
_symmetry_space_group_name_H-M 'P 1'
_symmetry_Int_Tables_number 1
_symmetry_space_group_name_Hall 'P 1'
_cell_length_a 7.8355
_cell_length_b 7.8355
_cell_length_c 7.8355
_cell_angle_alpha 100.46
_cell_angle_beta 100.46
_cell_angle_gamma 129.57
loop_
_atom_site_label
_atom_site_type_symbol
_atom_site_fract_x
_atom_site_fract_y
_atom_site_fract_z
S1 S 0.5899 0.5899 0.0000
S2 S 0.0677 0.7886 0.8530
S3 S 0.2147 0.0677 0.2790
S4 S 0.7886 0.9356 0.7210
S5 S 0.9356 0.2147 0.1470
Rb1 Rb 0.5948 0.2011 0.8053
Rb2 Rb 0.7896 0.5948 0.3938
Rb3 Rb 0.2011 0.3958 0.6062
Rb4 Rb 0.3958 0.7896 0.1947
V1 V 0.9119 0.9119 0.0000
# Uncorrected formation energy, eV/f.u.: -9.2

=====

(3)
# Rb2VS4 (PBE-GGA, relaxed)
data_Rb2VS4
_chemical_formula_sum 'Rb4 V2 S8'
_symmetry_space_group_name_H-M 'P 1'
_symmetry_Int_Tables_number 1
_symmetry_space_group_name_Hall 'P 1'
_cell_length_a 5.4383
_cell_length_b 7.3996
_cell_length_c 12.0963
_cell_angle_alpha 96.25
_cell_angle_beta 90.00
_cell_angle_gamma 90.00
loop_
_atom_site_label
_atom_site_type_symbol
_atom_site_fract_x
_atom_site_fract_y
_atom_site_fract_z
S1 S 0.4719 0.5164 0.2942
S2 S 0.5281 0.4836 0.7058
S3 S 0.9719 0.4836 0.7058
S4 S 0.7500 0.0806 0.3359
S5 S 0.2500 0.7643 0.9343
S6 S 0.2500 0.9194 0.6641
S7 S 0.7500 0.2357 0.0657
S8 S 0.0281 0.5164 0.2942
Rb1 Rb 0.2500 0.2277 0.9006
Rb2 Rb 0.2500 0.2423 0.4817
Rb3 Rb 0.7500 0.7723 0.0994
Rb4 Rb 0.7500 0.7577 0.5183
V1 V 0.2500 0.6909 0.7595
V2 V 0.7500 0.3091 0.2405
# Uncorrected formation energy, eV/f.u.: -6.7
# E above lowest polymorph, eV per formula unit: 0.00

=====

(4)
# RbVS2 (PBE-GGA, relaxed)
data_RbVS2
_chemical_formula_sum 'Rb1 V1 S2'
_symmetry_space_group_name_H-M 'P 1'
_symmetry_Int_Tables_number 1
_symmetry_space_group_name_Hall 'P 1'
_cell_length_a 4.8572
_cell_length_b 4.8572
_cell_length_c 4.8572
_cell_angle_alpha 60.00
_cell_angle_beta 60.00
_cell_angle_gamma 60.00
loop_
_atom_site_label
_atom_site_type_symbol
_atom_site_fract_x
_atom_site_fract_y
_atom_site_fract_z
S1 S 0.2500 0.2500 0.2500
S2 S 0.7500 0.7500 0.7500
V1 V 0.0000 0.0000 0.0000
Rb1 Rb 0.5000 0.5000 0.5000
# Uncorrected formation energy, eV/f.u.: -0.3

=====

(5)
# RbVS (PBE-GGA, relaxed)
data_RbVS
_chemical_formula_sum 'Rb4 V4 S4'
_symmetry_space_group_name_H-M 'P 1'
_symmetry_Int_Tables_number 1
_symmetry_space_group_name_Hall 'P 1'
_cell_length_a 12.8059
_cell_length_b 7.7928
_cell_length_c 9.5765
_cell_angle_alpha 56.68
_cell_angle_beta 48.04
_cell_angle_gamma 34.75
loop_
_atom_site_label
_atom_site_type_symbol
_atom_site_fract_x
_atom_site_fract_y
_atom_site_fract_z
S1 S 0.5007 0.9986 0.5000
S2 S 0.9993 0.0014 0.5000
S3 S 0.7507 0.4986 0.0000
S4 S 0.2493 0.5014 0.0000
V1 V 0.0640 0.0000 0.8720
V2 V 0.6860 0.5000 0.6280
V3 V 0.9360 0.0000 0.1280
V4 V 0.8140 0.5000 0.3720
Rb1 Rb 0.4222 0.5000 0.1555
Rb2 Rb 0.0778 0.5000 0.8445
Rb3 Rb 0.6722 0.0000 0.6555
Rb4 Rb 0.3278 0.0000 0.3445
# Uncorrected formation energy, eV/f.u.: -0.5

=====

(6)
# RbV3S (PBE-GGA, relaxed)
data_RbV3S
_chemical_formula_sum 'Rb1 V3 S1'
_symmetry_space_group_name_H-M 'P 1'
_symmetry_Int_Tables_number 1
_symmetry_space_group_name_Hall 'P 1'
_cell_length_a 4.5254
_cell_length_b 4.5254
_cell_length_c 4.5254
_cell_angle_alpha 90.00
_cell_angle_beta 90.00
_cell_angle_gamma 90.00
loop_
_atom_site_label
_atom_site_type_symbol
_atom_site_fract_x
_atom_site_fract_y
_atom_site_fract_z
V1 V 0.5000 0.0000 0.0000
V2 V 0.0000 0.0000 0.5000
V3 V 0.0000 0.5000 0.0000
Rb1 Rb 0.0000 0.0000 0.0000
S1 S 0.5000 0.5000 0.5000
# Uncorrected formation energy, eV/f.u.: 13.7
# E above lowest polymorph, eV per formula unit: 9.24

=====

(7)
# Rb3VS3 (PBE-GGA, relaxed)
data_Rb3VS3
_chemical_formula_sum 'Rb12 V4 S12'
_symmetry_space_group_name_H-M 'P 1'
_symmetry_Int_Tables_number 1
_symmetry_space_group_name_Hall 'P 1'
_cell_length_a 8.0514
_cell_length_b 8.4445
_cell_length_c 13.3141
_cell_angle_alpha 90.00
_cell_angle_beta 90.00
_cell_angle_gamma 100.73
loop_
_atom_site_label
_atom_site_type_symbol
_atom_site_fract_x
_atom_site_fract_y
_atom_site_fract_z
S1 S 0.9753 0.1159 0.8881
S2 S 0.3651 0.2446 0.0373
S3 S 0.0377 0.6974 0.8486
S4 S 0.6349 0.7554 0.9627
S5 S 0.8651 0.7446 0.4627
S6 S 0.4753 0.6159 0.6119
S7 S 0.5377 0.1974 0.6514
S8 S 0.9623 0.3026 0.1514
S9 S 0.4623 0.8026 0.3486
S10 S 0.0247 0.8841 0.1119
S11 S 0.1349 0.2554 0.5373
S12 S 0.5247 0.3841 0.3881
V1 V 0.0851 0.1412 0.0473
V2 V 0.4149 0.3588 0.5473
V3 V 0.9149 0.8588 0.9527
V4 V 0.5851 0.6412 0.4527
Rb1 Rb 0.6215 0.0249 0.1449
Rb2 Rb 0.7501 0.3926 0.9367
Rb3 Rb 0.2137 0.0879 0.3037
Rb4 Rb 0.7137 0.5879 0.1963
Rb5 Rb 0.2501 0.8926 0.5633
Rb6 Rb 0.7499 0.1074 0.4367
Rb7 Rb 0.8785 0.4751 0.6449
Rb8 Rb 0.2499 0.6074 0.0633
Rb9 Rb 0.1215 0.5249 0.3551
Rb10 Rb 0.7863 0.9121 0.6963
Rb11 Rb 0.2863 0.4121 0.8037
Rb12 Rb 0.3785 0.9751 0.8551
# Uncorrected formation energy, eV/f.u.: -7.5

=====

(8)
# RbVS3 (PBE-GGA, relaxed)
data_RbVS3
_chemical_formula_sum 'Rb4 V4 S12'
_symmetry_space_group_name_H-M 'P 1'
_symmetry_Int_Tables_number 1
_symmetry_space_group_name_Hall 'P 1'
_cell_length_a 5.9123
_cell_length_b 6.7262
_cell_length_c 15.0545
_cell_angle_alpha 110.45
_cell_angle_beta 90.00
_cell_angle_gamma 90.00
loop_
_atom_site_label
_atom_site_type_symbol
_atom_site_fract_x
_atom_site_fract_y
_atom_site_fract_z
S1 S 0.4953 0.1570 0.6135
S2 S 0.7500 0.6586 0.0572
S3 S 0.9949 0.8433 0.3864
S4 S 0.0047 0.1570 0.1135
S5 S 0.7500 0.6586 0.5572
S6 S 0.4949 0.1567 0.1136
S7 S 0.5047 0.8430 0.3865
S8 S 0.2500 0.3414 0.4428
S9 S 0.5051 0.8433 0.8864
S10 S 0.2500 0.3414 0.9428
S11 S 0.0051 0.1567 0.6136
S12 S 0.9953 0.8430 0.8865
Rb1 Rb 0.7499 0.2952 0.3354
Rb2 Rb 0.7501 0.2952 0.8354
Rb3 Rb 0.2501 0.7048 0.6646
Rb4 Rb 0.2499 0.7048 0.1646
V1 V 0.7500 0.9254 0.5159
V2 V 0.2500 0.0746 0.4841
V3 V 0.7500 0.9254 0.0159
V4 V 0.2500 0.0746 0.9841
# Uncorrected formation energy, eV/f.u.: -4.7
# E above lowest polymorph, eV per formula unit: 0.00

=====

(9)
# Rb3VS4 (PBE-GGA, relaxed)
data_Rb3VS4
_chemical_formula_sum 'Rb12 V4 S16'
_symmetry_space_group_name_H-M 'P 1'
_symmetry_Int_Tables_number 1
_symmetry_space_group_name_Hall 'P 1'
_cell_length_a 9.5283
_cell_length_b 9.5786
_cell_length_c 11.1644
_cell_angle_alpha 90.00
_cell_angle_beta 90.00
_cell_angle_gamma 90.00
loop_
_atom_site_label
_atom_site_type_symbol
_atom_site_fract_x
_atom_site_fract_y
_atom_site_fract_z
S1 S 0.7952 0.7593 0.2500
S2 S 0.0099 0.9267 0.7500
S3 S 0.4901 0.4267 0.2500
S4 S 0.6702 0.0503 0.4100
S5 S 0.6702 0.0503 0.0900
S6 S 0.8298 0.5503 0.9100
S7 S 0.7048 0.2593 0.7500
S8 S 0.3298 0.9497 0.9100
S9 S 0.2952 0.7407 0.2500
S10 S 0.8298 0.5503 0.5900
S11 S 0.9901 0.0733 0.2500
S12 S 0.2048 0.2407 0.7500
S13 S 0.1702 0.4497 0.4100
S14 S 0.3298 0.9497 0.5900
S15 S 0.1702 0.4497 0.0900
S16 S 0.5099 0.5733 0.7500
V1 V 0.2199 0.0148 0.7500
V2 V 0.7199 0.4852 0.7500
V3 V 0.2801 0.5148 0.2500
V4 V 0.7801 0.9852 0.2500
Rb1 Rb 0.5485 0.7089 0.0441
Rb2 Rb 0.4515 0.2911 0.9559
Rb3 Rb 0.0485 0.7911 0.4559
Rb4 Rb 0.9515 0.2089 0.9559
Rb5 Rb 0.0485 0.7911 0.0441
Rb6 Rb 0.1439 0.5840 0.7500
Rb7 Rb 0.6439 0.9160 0.7500
Rb8 Rb 0.3561 0.0840 0.2500
Rb9 Rb 0.9515 0.2089 0.5441
Rb10 Rb 0.4515 0.2911 0.5441
Rb11 Rb 0.8561 0.4160 0.2500
Rb12 Rb 0.5485 0.7089 0.4559
# Uncorrected formation energy, eV/f.u.: -9.5

=====

(10)
# RbV3S (PBE-GGA, relaxed)
data_RbV3S
_chemical_formula_sum 'Rb1 V3 S1'
_symmetry_space_group_name_H-M 'P 1'
_symmetry_Int_Tables_number 1
_symmetry_space_group_name_Hall 'P 1'
_cell_length_a 4.5885
_cell_length_b 4.5885
_cell_length_c 4.5885
_cell_angle_alpha 90.00
_cell_angle_beta 90.00
_cell_angle_gamma 90.00
loop_
_atom_site_label
_atom_site_type_symbol
_atom_site_fract_x
_atom_site_fract_y
_atom_site_fract_z
V1 V 0.0000 0.0000 0.5000
V2 V 0.5000 0.0000 0.0000
V3 V 0.0000 0.5000 0.0000
Rb1 Rb 0.5000 0.5000 0.5000
S1 S 0.0000 0.0000 0.0000
# Uncorrected formation energy, eV/f.u.: 4.5
# E above lowest polymorph, eV per formula unit: 0.00

=====

(11)
# RbV5S8 (PBE-GGA, relaxed)
data_RbV5S8
_chemical_formula_sum 'Rb1 V5 S8'
_symmetry_space_group_name_H-M 'P 1'
_symmetry_Int_Tables_number 1
_symmetry_space_group_name_Hall 'P 1'
_cell_length_a 8.9955
_cell_length_b 8.9955
_cell_length_c 8.5427
_cell_angle_alpha 75.73
_cell_angle_beta 75.73
_cell_angle_gamma 21.04
loop_
_atom_site_label
_atom_site_type_symbol
_atom_site_fract_x
_atom_site_fract_y
_atom_site_fract_z
S1 S 0.1619 0.1619 0.9982
S2 S 0.4258 0.4258 0.6781
S3 S 0.2409 0.2409 0.3396
S4 S 0.0866 0.0866 0.6779
S5 S 0.8381 0.8381 0.0018
S6 S 0.7591 0.7591 0.6604
S7 S 0.5742 0.5742 0.3219
S8 S 0.9134 0.9134 0.3221
V1 V 0.2894 0.2894 0.8593
V2 V 0.3513 0.3513 0.4973
V3 V 0.0000 0.0000 0.5000
V4 V 0.7106 0.7106 0.1407
V5 V 0.6487 0.6487 0.5027
Rb1 Rb 0.5000 0.5000 0.0000
# Uncorrected formation energy, eV/f.u.: -14.0

=====

(12)
# Rb5V2S6 (PBE-GGA, relaxed)
data_Rb5V2S6
_chemical_formula_sum 'Rb10 V4 S12'
_symmetry_space_group_name_H-M 'P 1'
_symmetry_Int_Tables_number 1
_symmetry_space_group_name_Hall 'P 1'
_cell_length_a 4.0272
_cell_length_b 12.9210
_cell_length_c 15.7012
_cell_angle_alpha 90.00
_cell_angle_beta 90.00
_cell_angle_gamma 90.00
loop_
_atom_site_label
_atom_site_type_symbol
_atom_site_fract_x
_atom_site_fract_y
_atom_site_fract_z
Rb1 Rb 0.5000 0.9493 0.7363
Rb2 Rb 0.5000 0.0507 0.2637
Rb3 Rb 0.5000 0.3419 0.5238
Rb4 Rb 0.5000 0.0000 0.5000
Rb5 Rb 0.5000 0.5000 0.0000
Rb6 Rb 0.5000 0.1581 0.0238
Rb7 Rb 0.5000 0.8419 0.9762
Rb8 Rb 0.5000 0.5507 0.2363
Rb9 Rb 0.5000 0.4493 0.7637
Rb10 Rb 0.5000 0.6581 0.4762
S1 S 0.0000 0.5451 0.6202
S2 S 0.5000 0.2978 0.2328
S3 S 0.0000 0.8282 0.5940
S4 S 0.5000 0.7022 0.7672
S5 S 0.5000 0.7978 0.2672
S6 S 0.0000 0.4549 0.3798
S7 S 0.0000 0.9549 0.1202
S8 S 0.5000 0.2022 0.7328
S9 S 0.0000 0.6718 0.0940
S10 S 0.0000 0.1718 0.4060
S11 S 0.0000 0.3282 0.9060
S12 S 0.0000 0.0451 0.8798
V1 V 0.0000 0.3046 0.3135
V2 V 0.0000 0.8046 0.1865
V3 V 0.0000 0.1954 0.8135
V4 V 0.0000 0.6954 0.6865
# Uncorrected formation energy, eV/f.u.: -13.3